1.
# Pr2Nd8Th

A relaxed structure of Pr2Nd8Th (PBE, Alexandria).

abc: 5.197 8.235 9.733
angles: 104.62 105.49 90.00
Sites, in units of the cell vectors:
Nd (0.679, 0.908, 0.358)
Nd (0.590, 0.449, 0.180)
Nd (0.866, 0.824, 0.733)
Nd (0.134, 0.176, 0.267)
Nd (0.956, 0.266, 0.912)
Nd (0.044, 0.734, 0.088)
Nd (0.321, 0.092, 0.642)
Nd (0.410, 0.551, 0.820)
Th (0.500, 0.000, 0.000)
Pr (0.772, 0.363, 0.544)
Pr (0.228, 0.637, 0.456)

## Properties
final energy: -4.98 eV/atom
ΔH_f (0 K): 0.027 eV per atom
spin magnetization: 0.00 μB/cell
V: 387 Å³/cell


2.
# NdSbO4

A relaxed structure of NdSbO4 (PBE, Alexandria).

abc: 5.393 5.393 6.939
angles: 112.87 112.87 90.00
Sites, in units of the cell vectors:
Nd (0.750, 0.250, 0.500)
Nd (0.000, 0.000, 0.000)
O (0.663, 0.585, 0.826)
O (0.415, 0.837, 0.174)
O (0.163, 0.241, 0.826)
O (0.991, 0.913, 0.326)
O (0.587, 0.009, 0.674)
O (0.087, 0.665, 0.674)
O (0.759, 0.337, 0.174)
O (0.335, 0.413, 0.326)
Sb (0.250, 0.750, 0.500)
Sb (0.500, 0.500, 0.000)

## Properties
final energy: -7.08 eV/atom
spin magnetization: 0.00 μB/cell
E_form (uncorrected): -13.74 eV per formula unit
V: 169 Å³/cell


3.
# Sr2AlSi3Ir4

A relaxed structure of Sr2AlSi3Ir4 (PBE, Alexandria).

abc: 4.198 4.198 10.279
angles: 90.00 90.00 90.00
Sites, in units of the cell vectors:
Si (0.500, 0.000, 0.878)
Si (0.000, 0.000, 0.500)
Si (0.000, 0.500, 0.122)
Ir (0.500, 0.500, 0.000)
Ir (0.000, 0.500, 0.368)
Ir (0.500, 0.000, 0.632)
Ir (0.000, 0.000, 0.000)
Sr (0.000, 0.500, 0.751)
Sr (0.500, 0.000, 0.249)
Al (0.500, 0.500, 0.500)

## Properties
final energy: -6.70 eV/atom
spin magnetization: 0.00 μB/cell
E_form (uncorrected): -8.17 eV per formula unit
V: 181 Å³/cell


4.
# HoTm7Al4

A relaxed structure of HoTm7Al4 (PBE, Alexandria).

abc: 5.425 8.954 7.367
angles: 77.62 68.39 72.37
Sites, in units of the cell vectors:
Tm (0.785, 0.877, 0.553)
Tm (0.215, 0.123, 0.447)
Tm (0.702, 0.355, 0.241)
Tm (0.500, 0.000, 0.000)
Tm (0.298, 0.645, 0.759)
Tm (0.065, 0.610, 0.259)
Tm (0.935, 0.390, 0.741)
Al (0.445, 0.764, 0.346)
Al (0.555, 0.236, 0.654)
Al (0.323, 0.333, 0.022)
Al (0.677, 0.667, 0.978)
Ho (0.000, 0.000, 0.000)

## Properties
final energy: -4.27 eV/atom
ΔH_f (0 K): -0.037 eV per atom
spin magnetization: 0.01 μB/cell
V: 315 Å³/cell


5.
# SbPRh2

A relaxed structure of SbPRh2 (PBE, Alexandria).

abc: 5.134 5.134 7.278
angles: 69.35 69.35 90.00
Sites, in units of the cell vectors:
Sb (0.000, 0.000, 0.000)
Sb (0.750, 0.250, 0.500)
Rh (0.191, 0.625, 0.250)
Rh (0.375, 0.441, 0.750)
Rh (0.875, 0.809, 0.750)
Rh (0.559, 0.125, 0.250)
P (0.500, 0.500, 0.000)
P (0.250, 0.750, 0.500)

## Properties
final energy: -6.35 eV/atom
spin magnetization: 0.00 μB/cell
E_form (uncorrected): -1.17 eV per formula unit
energy above the lowest structure with this stoichiometry: 0.153 eV per atom
V: 166 Å³/cell


6.
# Mg2AsBrO

A relaxed structure of Mg2AsBrO (PBE, Alexandria).

abc: 5.058 5.104 5.058
angles: 90.00 90.00 90.00
Last column: magnetic moment on the atom in μB.
Sites, in units of the cell vectors:
Br (0.000, 0.500, 0.000)  -0.02
As (0.000, 0.000, 0.000)  0.02
O (0.500, 0.500, 0.500)  -0.48
Mg (0.000, 0.000, 0.500)  0.02
Mg (0.500, 0.000, 0.000)  0.01

## Properties
final energy: -2.71 eV/atom
spin magnetization: 0.42 μB/cell
E_form (uncorrected): 0.93 eV per formula unit
V: 131 Å³/cell


7.
# SrLi3Cl

A relaxed structure of SrLi3Cl (PBE, Alexandria).

abc: 6.666 6.666 6.666
angles: 90.00 90.00 90.00
Last column: magnetic moment on the atom in μB.
Sites, in units of the cell vectors:
Sr (0.000, 0.000, 0.000)  0.16
Cl (0.500, 0.500, 0.500)  0.04
Li (0.000, 0.500, 0.000)  0.04
Li (0.000, 0.000, 0.500)  0.03
Li (0.500, 0.000, 0.000)  0.04

## Properties
final energy: -1.30 eV/atom
spin magnetization: 2.00 μB/cell
E_form (uncorrected): 2.78 eV per formula unit
energy above the lowest structure with this stoichiometry: 0.966 eV per atom
V: 296 Å³/cell


8.
# Os2RhSe

A relaxed structure of Os2RhSe (PBE, Alexandria).

abc: 8.643 8.643 8.643
angles: 18.94 18.94 18.94
Sites, in units of the cell vectors:
Os (0.252, 0.252, 0.252)
Os (0.001, 0.001, 0.001)
Rh (0.497, 0.497, 0.497)
Se (0.749, 0.749, 0.749)

## Properties
final energy: -7.98 eV/atom
spin magnetization: 0.00 μB/cell
E_form (uncorrected): 1.36 eV per formula unit
V: 59 Å³/cell


Q: Look up the final energy of the first one.
A: -4.98 eV/atom